1.
Computed, not measured: crystalline Al3InSb at its relaxed geometry at the PBE level of DFT.

Output
**Symmetry**: Pm-3m, No. 221

The structure in POSCAR format:
```
Al3InSb
1.0
-1.172 4.550 -2.146
-4.605 -0.083 2.338
2.025 2.444 4.075
Al In Sb
3 1 1
Cartesian
1.013 1.222 2.038
-2.302 -0.042 1.169
-0.586 2.275 -1.073
0.000 0.000 0.000
-1.876 3.455 2.134
```

***

2.
Computed, not measured: crystalline AlInSb2 at its relaxed geometry at the PBE level of DFT.

Output
**Symmetry**: Cmmm, No. 65

The structure in POSCAR format:
```
AlInSb2
1.0
5.904 -0.169 0.000
-2.136 5.506 0.000
0.000 0.000 3.217
Sb Al In
2 1 1
Cartesian
0.000 0.000 0.000
1.884 2.669 0.000
2.952 -0.084 1.609
-1.068 2.753 1.609
```

***

Fermi-level density of states: 2.45, 1.23 (states/eV/f.u.)
Electronic total energy: -2.898, -3.482 (eV per atom)